1.
A relaxed structure of AlNiCl2. Source: Alexandria via LeMat-Bulk, functional PBE.

Cell lengths 3.1043, 3.1043, 8.0241 Å; angles 90.00, 90.00, 90.00 degrees
Space group P4mm (No. 99)
One atom of each set of equivalent atoms:
Al1 0.0000 0.0000 0.0000
Ni1 0.5000 0.5000 0.8447
Cl1 0.0000 0.0000 0.6674
Cl2 0.5000 0.5000 0.2112

Calculated values
- total magnetization (μB per cell) = 0.00
- calculated total energy (eV/f.u.) = -14.39
- N(E_F) (states/eV/cell) = 1.4
- raw formation energy (meV per atom) = -294.1
- excess energy over the best structure of this formula in the dataset (meV/atom) = 277
- theoretical density (g cm⁻³) = 3.36

***

2.
A relaxed structure of LiFeIr. Source: Alexandria via LeMat-Bulk, functional PBE.

Cell lengths 5.4788, 5.4788, 5.4788 Å; angles 90.00, 90.00, 90.00 degrees
Space group F-43m (No. 216)
One atom of each set of equivalent atoms:
Li1 0.0000 0.0000 0.0000
Fe1 0.2500 0.2500 0.2500
Ir1 0.0000 0.0000 0.5000

Calculated values
- total magnetization (μB per cell) = 0.00
- calculated total energy (eV/f.u.) = -18.22
- N(E_F) (states/eV/cell) = 11.6
- excess energy over the best structure of this formula in the dataset (meV/atom) = 377
- ΔH_f (0 K) (eV/atom) = 0.339
- theoretical density (g cm⁻³) = 10.30

***

We obtain V values of 77.3; 164.5 Å³ per cell for the records listed above, in that order.